TbEuIr: optimized geometry, PBE-GGA.

Values from the calculation:
energy above the most stable polymorph in this dataset	0.00	eV per formula unit
density of states at the Fermi level	10.3	states/eV/cell
formation energy	-504	meV/atom

a b c (Å): 4.876 4.876 4.876
angles (deg): 60.00 60.00 60.00
Fractional coordinates of all 3 atoms:
Tb1 0.500 0.500 0.500
Ir1 0.250 0.250 0.250
Eu1 0.000 0.000 0.000